# CrRuAu2, PBEsol geometry, DFT SCAN
data_CrRuAu2
_chemical_formula_sum 'Cr1 Ru1 Au2'
_symmetry_space_group_name_H-M 'P 4/m m m'
_symmetry_Int_Tables_number 123
_symmetry_space_group_name_Hall '-P 4 2'
_cell_length_a 3.332
_cell_length_b 3.332
_cell_length_c 5.509
_cell_angle_alpha 90.00
_cell_angle_beta 90.00
_cell_angle_gamma 90.00
loop_
_atom_site_label
_atom_site_type_symbol
_atom_site_fract_x
_atom_site_fract_y
_atom_site_fract_z
Cr1 Cr 0.000 0.000 0.000
Ru1 Ru 0.000 0.000 0.500
Au1 Au 0.500 0.500 0.245
# Polymorph energy (0 for the lowest one) in meV/atom: 115.1
# Volume in A^3/atom: 15.3
# Total energy in eV for the cell shown: -190.744
# Fermi-level density of states in states/eV/f.u.: 2.60
# Formation energy from the elements in eV/atom: 0.20
# Crystal system: tetragonal